Computed, not measured: a geometry-optimized Na2MoF structure at the GGA+U level of DFT.

Values from the calculation:
Fermi-level density of states: 0.227 states/eV/atom
DFT total energy: -2.96 eV per atom
Symmetry: Fm-3m (225)
Magnetization: 5.104 μB/f.u.
ΔE to the lowest computed polymorph: 0.467 eV per atom

```
data_Na2MoF
_chemical_formula_sum 'Na2 Mo1 F1'
_cell_length_a 5.203
_cell_length_b 5.203
_cell_length_c 5.203
_cell_angle_alpha 60.00
_cell_angle_beta 60.00
_cell_angle_gamma 60.00
_symmetry_space_group_name_H-M 'P 1'
_symmetry_Int_Tables_number 1
loop_
_symmetry_equiv_pos_as_xyz
'x,y,z'
loop_
_atom_site_label
_atom_site_fract_x
_atom_site_fract_y
_atom_site_fract_z
_atom_site_occupancy
Na1 0.250 0.250 0.250 1
Na2 0.750 0.750 0.750 1
Mo1 0.500 0.500 0.500 1
F1 0.000 0.000 0.000 1
```